A plane-wave DFT calculation with PBE-GGA was carried out for a relaxed NdScAlZn crystal.

Lattice parameters (Å, degrees): 7.107 7.107 7.107 90.00 90.00 90.00
Fractional positions:
Nd 0.000 0.000 0.000
Nd 0.000 0.500 0.500
Nd 0.500 0.000 0.500
Nd 0.500 0.500 0.000
Sc 0.000 0.000 0.500
Sc 0.000 0.500 0.000
Sc 0.500 0.000 0.000
Sc 0.500 0.500 0.500
Al 0.250 0.250 0.750
Al 0.250 0.750 0.250
Al 0.750 0.250 0.250
Al 0.750 0.750 0.750
Zn 0.250 0.250 0.250
Zn 0.250 0.750 0.750
Zn 0.750 0.250 0.750
Zn 0.750 0.750 0.250

Properties
The total energy comes out at -69.96 eV for the cell shown. The density of states at the Fermi level comes out at 13.33 states/eV per cell.

=====

A plane-wave DFT calculation with PBE-GGA was carried out for a relaxed NdAlSe3 crystal.

Lattice parameters (Å, degrees): 7.909 7.909 4.422 90.89 90.89 70.79
Fractional positions:
Nd 0.234 0.234 0.257
Nd 0.766 0.766 0.743
Al 0.313 0.687 0.500
Al 0.687 0.313 0.500
Se 0.054 0.662 0.249
Se 0.338 0.946 0.751
Se 0.398 0.398 0.755
Se 0.602 0.602 0.245
Se 0.662 0.054 0.249
Se 0.946 0.338 0.751

Properties
The relative energy among the computed polymorphs comes out at 0.023 eV/atom. As for the energy relative to the elements, uncorrected: -1.322 eV per atom.

=====

A plane-wave DFT calculation with PBE-GGA was carried out for a relaxed Nd2AlSe crystal.

Lattice parameters (Å, degrees): 4.108 4.108 23.226 90.00 90.00 120.00
Fractional positions:
Nd 0.000 0.000 0.246
Nd 0.000 0.000 0.754
Nd 0.333 0.667 0.421
Nd 0.333 0.667 0.912
Nd 0.667 0.333 0.088
Nd 0.667 0.333 0.579
Al 0.000 0.000 0.000
Al 0.333 0.667 0.667
Al 0.667 0.333 0.333
Se 0.000 0.000 0.500
Se 0.333 0.667 0.167
Se 0.667 0.333 0.833

Properties
The relative energy among the computed polymorphs comes out at 0.108 eV/atom. As for the energy relative to the elements, uncorrected: -1.020 eV per atom. The density of states at the Fermi level comes out at 6.86 states/eV per cell.

=====

A plane-wave DFT calculation with PBE-GGA was carried out for a relaxed Nd5Al2Se12 crystal.

Lattice parameters (Å, degrees): 8.708 8.708 9.218 101.64 101.64 51.45
Fractional positions:
Nd 0.000 0.000 0.000
Nd 0.293 0.293 0.152
Nd 0.321 0.321 0.684
Nd 0.679 0.679 0.316
Nd 0.707 0.707 0.848
Al 0.249 0.751 0.500
Al 0.751 0.249 0.500
Se 0.018 0.018 0.687
Se 0.073 0.580 0.427
Se 0.106 0.601 0.937
Se 0.399 0.894 0.063
Se 0.420 0.927 0.573
Se 0.489 0.489 0.308
Se 0.511 0.511 0.692
Se 0.580 0.073 0.427
Se 0.601 0.106 0.937
Se 0.894 0.399 0.063
Se 0.927 0.420 0.573
Se 0.982 0.982 0.313

Properties
As for the energy relative to the elements, uncorrected: -1.355 eV per atom. The density of states at the Fermi level comes out at 5.68 states/eV per cell.

=====

A plane-wave DFT calculation with PBE-GGA was carried out for a relaxed Nd6AlSe5 crystal.

Lattice parameters (Å, degrees): 7.391 7.391 7.387 99.57 99.57 119.89
Fractional positions:
Nd 0.082 0.413 0.749
Nd 0.248 0.248 0.254
Nd 0.413 0.082 0.749
Nd 0.587 0.918 0.251
Nd 0.752 0.752 0.746
Nd 0.918 0.587 0.251
Al 0.000 0.000 0.500
Se 0.167 0.833 0.000
Se 0.333 0.667 0.500
Se 0.500 0.500 0.000
Se 0.667 0.333 0.500
Se 0.833 0.167 0.000

Properties
As for the energy relative to the elements, uncorrected: -1.590 eV per atom. The density of states at the Fermi level comes out at 6.46 states/eV per cell.

=====

A plane-wave DFT calculation with PBE-GGA was carried out for a relaxed Nd9Al5Se21 crystal.

Lattice parameters (Å, degrees): 12.246 12.246 12.246 94.44 94.44 94.44
Fractional positions:
Nd 0.016 0.807 0.177
Nd 0.020 0.639 0.798
Nd 0.118 0.500 0.343
Nd 0.141 0.362 0.987
Nd 0.177 0.016 0.807
Nd 0.324 0.475 0.695
Nd 0.343 0.118 0.500
Nd 0.362 0.987 0.141
Nd 0.459 0.834 0.688
Nd 0.475 0.695 0.324
Nd 0.500 0.343 0.118
Nd 0.639 0.798 0.020
Nd 0.688 0.459 0.834
Nd 0.695 0.324 0.475
Nd 0.798 0.020 0.639
Nd 0.807 0.177 0.016
Nd 0.834 0.688 0.459
Nd 0.987 0.141 0.362
Al 0.025 0.348 0.691
Al 0.185 0.852 0.526
Al 0.216 0.216 0.216
Al 0.348 0.691 0.025
Al 0.400 0.400 0.400
Al 0.526 0.185 0.852
Al 0.691 0.025 0.348
Al 0.714 0.714 0.714
Al 0.852 0.526 0.185
Al 0.898 0.898 0.898
Se 0.019 0.265 0.163
Se 0.030 0.565 0.121
Se 0.064 0.732 0.401
Se 0.084 0.843 0.951
Se 0.093 0.507 0.607
Se 0.121 0.030 0.565
Se 0.163 0.019 0.265
Se 0.189 0.272 0.758
Se 0.194 0.289 0.421
Se 0.218 0.785 0.703
Se 0.232 0.566 0.899
Se 0.265 0.163 0.019
Se 0.272 0.758 0.189
Se 0.289 0.421 0.194
Se 0.334 0.575 0.472
Se 0.366 0.879 0.463
Se 0.401 0.064 0.732
Se 0.409 0.855 0.941
Se 0.421 0.194 0.289
Se 0.463 0.366 0.879
Se 0.472 0.334 0.575
Se 0.507 0.607 0.093
Se 0.532 0.631 0.779
Se 0.565 0.121 0.030
Se 0.566 0.899 0.232
Se 0.575 0.472 0.334
Se 0.607 0.093 0.507
Se 0.631 0.779 0.532
Se 0.680 0.907 0.810
Se 0.703 0.218 0.785
Se 0.732 0.401 0.064
Se 0.758 0.189 0.272
Se 0.779 0.532 0.631
Se 0.785 0.703 0.218
Se 0.810 0.680 0.907
Se 0.843 0.951 0.084
Se 0.855 0.941 0.409
Se 0.879 0.463 0.366
Se 0.899 0.232 0.566
Se 0.907 0.810 0.680
Se 0.941 0.409 0.855
Se 0.951 0.084 0.843

Properties
As for the energy relative to the elements, uncorrected: -1.536 eV per atom. The density of states at the Fermi level comes out at 0.00 states/eV per cell.

=====

A plane-wave DFT calculation with PBE-GGA was carried out for a relaxed NdAl2Se4 crystal.

Lattice parameters (Å, degrees): 7.738 7.738 6.203 90.00 90.00 90.00
Fractional positions:
Nd 0.000 0.000 0.000
Nd 0.500 0.500 0.500
Al 0.000 0.500 0.250
Al 0.000 0.500 0.750
Al 0.500 0.000 0.250
Al 0.500 0.000 0.750
Se 0.153 0.313 0.500
Se 0.187 0.653 0.000
Se 0.313 0.847 0.500
Se 0.347 0.187 0.000
Se 0.653 0.813 0.000
Se 0.687 0.153 0.500
Se 0.813 0.347 0.000
Se 0.847 0.687 0.500

Properties
As for the energy relative to the elements, uncorrected: -0.934 eV per atom. The density of states at the Fermi level comes out at 8.23 states/eV per cell.

=====

A plane-wave DFT calculation with PBE-GGA was carried out for a relaxed NdAlSe3 crystal.

Lattice parameters (Å, degrees): 8.978 8.978 7.361 102.77 102.77 80.60
Fractional positions:
Nd 0.100 0.900 0.750
Nd 0.325 0.675 0.250
Nd 0.675 0.325 0.750
Nd 0.900 0.100 0.250
Al 0.202 0.388 0.756
Al 0.388 0.202 0.256
Al 0.612 0.798 0.744
Al 0.798 0.612 0.244
Se 0.005 0.220 0.655
Se 0.089 0.630 0.892
Se 0.220 0.005 0.155
Se 0.334 0.418 0.510
Se 0.370 0.911 0.608
Se 0.418 0.334 0.010
Se 0.582 0.666 0.990
Se 0.630 0.089 0.392
Se 0.666 0.582 0.490
Se 0.780 0.995 0.845
Se 0.911 0.370 0.108
Se 0.995 0.780 0.345

Properties
The relative energy among the computed polymorphs comes out at 0.000 eV/atom. As for the energy relative to the elements, uncorrected: -1.344 eV per atom. The density of states at the Fermi level comes out at 0.00 states/eV per cell.

=====

A plane-wave DFT calculation with PBE-GGA was carried out for a relaxed Nd2AlSe crystal.

Lattice parameters (Å, degrees): 4.022 4.022 24.602 90.00 90.00 120.00
Fractional positions:
Nd 0.000 0.000 0.000
Nd 0.000 0.000 0.182
Nd 0.333 0.667 0.667
Nd 0.333 0.667 0.849
Nd 0.667 0.333 0.333
Nd 0.667 0.333 0.516
Al 0.000 0.000 0.424
Al 0.333 0.667 0.090
Al 0.667 0.333 0.757
Se 0.000 0.000 0.592
Se 0.333 0.667 0.259
Se 0.667 0.333 0.926

Properties
The relative energy among the computed polymorphs comes out at 0.220 eV/atom. As for the energy relative to the elements, uncorrected: -0.908 eV per atom. The density of states at the Fermi level comes out at 10.99 states/eV per cell.

=====

A plane-wave DFT calculation with PBE-GGA was carried out for a relaxed Nd3AlSe2 crystal.

Lattice parameters (Å, degrees): 4.163 6.059 13.252 90.00 90.00 90.00
Fractional positions:
Nd 0.000 0.000 0.000
Nd 0.000 0.000 0.328
Nd 0.000 0.000 0.672
Nd 0.500 0.500 0.172
Nd 0.500 0.500 0.500
Nd 0.500 0.500 0.828
Al 0.000 0.500 0.000
Al 0.500 0.000 0.500
Se 0.000 0.500 0.334
Se 0.000 0.500 0.666
Se 0.500 0.000 0.166
Se 0.500 0.000 0.834

Properties
As for the energy relative to the elements, uncorrected: -1.330 eV per atom. The density of states at the Fermi level comes out at 2.64 states/eV per cell.

=====

A plane-wave DFT calculation with PBE-GGA was carried out for a relaxed Nd4AlSe3 crystal.

Lattice parameters (Å, degrees): 6.040 6.040 12.110 90.00 90.00 90.00
Fractional positions:
Nd 0.000 0.000 0.248
Nd 0.000 0.000 0.752
Nd 0.000 0.500 0.000
Nd 0.000 0.500 0.500
Nd 0.500 0.000 0.000
Nd 0.500 0.000 0.500
Nd 0.500 0.500 0.252
Nd 0.500 0.500 0.748
Al 0.000 0.000 0.500
Al 0.500 0.500 0.000
Se 0.000 0.000 0.000
Se 0.000 0.500 0.250
Se 0.000 0.500 0.750
Se 0.500 0.000 0.250
Se 0.500 0.000 0.750
Se 0.500 0.500 0.500

Properties
As for the energy relative to the elements, uncorrected: -1.479 eV per atom. The density of states at the Fermi level comes out at 4.90 states/eV per cell.

=====

A plane-wave DFT calculation with PBE-GGA was carried out for a relaxed Nd8AlSe6 crystal.

Lattice parameters (Å, degrees): 10.886 10.886 4.217 90.00 90.00 120.00
Fractional positions:
Nd 0.035 0.320 0.250
Nd 0.285 0.965 0.250
Nd 0.320 0.285 0.750
Nd 0.333 0.667 0.750
Nd 0.667 0.333 0.250
Nd 0.680 0.715 0.250
Nd 0.715 0.035 0.750
Nd 0.965 0.680 0.750
Al 0.000 0.000 0.000
Se 0.131 0.648 0.248
Se 0.352 0.483 0.248
Se 0.483 0.131 0.752
Se 0.517 0.869 0.248
Se 0.648 0.517 0.752
Se 0.869 0.352 0.752

Properties
As for the energy relative to the elements, uncorrected: -1.324 eV per atom. The density of states at the Fermi level comes out at 13.71 states/eV per cell.

=====

A plane-wave DFT calculation with PBE-GGA was carried out for a relaxed Nd3AlSe6 crystal.

Lattice parameters (Å, degrees): 9.183 9.183 6.933 90.00 90.00 102.27
Fractional positions:
Nd 0.099 0.901 0.500
Nd 0.218 0.416 0.404
Nd 0.416 0.218 0.904
Nd 0.584 0.782 0.404
Nd 0.782 0.584 0.904
Nd 0.901 0.099 0.000
Al 0.300 0.700 0.864
Al 0.700 0.300 0.364
Se 0.071 0.599 0.696
Se 0.132 0.192 0.702
Se 0.192 0.132 0.202
Se 0.282 0.718 0.209
Se 0.401 0.929 0.696
Se 0.458 0.542 0.727
Se 0.542 0.458 0.227
Se 0.599 0.071 0.196
Se 0.718 0.282 0.709
Se 0.808 0.868 0.702
Se 0.868 0.808 0.202
Se 0.929 0.401 0.196

Properties
As for the energy relative to the elements, uncorrected: -1.644 eV per atom. The density of states at the Fermi level comes out at 0.00 states/eV per cell.

=====

A plane-wave DFT calculation with PBE-GGA was carried out for a relaxed Nd6AlSe12 crystal.

Lattice parameters (Å, degrees): 8.312 8.312 8.312 99.12 99.12 99.12
Fractional positions:
Nd 0.131 0.631 0.287
Nd 0.287 0.131 0.631
Nd 0.369 0.713 0.869
Nd 0.631 0.287 0.131
Nd 0.713 0.869 0.369
Nd 0.869 0.369 0.713
Al 0.000 0.000 0.000
Se 0.026 0.692 0.940
Se 0.060 0.974 0.308
Se 0.181 0.445 0.575
Se 0.308 0.060 0.974
Se 0.425 0.819 0.555
Se 0.445 0.575 0.181
Se 0.555 0.425 0.819
Se 0.575 0.181 0.445
Se 0.692 0.940 0.026
Se 0.819 0.555 0.425
Se 0.940 0.026 0.692
Se 0.974 0.308 0.060

Properties
As for the energy relative to the elements, uncorrected: -1.480 eV per atom. The density of states at the Fermi level comes out at 15.93 states/eV per cell.

=====

A plane-wave DFT calculation with PBE-GGA was carried out for a relaxed Nd3Al5Se12 crystal.

Lattice parameters (Å, degrees): 13.806 13.806 13.806 109.47 109.47 109.47
Fractional positions:
Nd 0.125 0.250 0.375
Nd 0.125 0.375 0.750
Nd 0.250 0.375 0.125
Nd 0.250 0.875 0.625
Nd 0.375 0.125 0.250
Nd 0.375 0.750 0.125
Nd 0.625 0.250 0.875
Nd 0.625 0.875 0.750
Nd 0.750 0.125 0.375
Nd 0.750 0.625 0.875
Nd 0.875 0.625 0.250
Nd 0.875 0.750 0.625
Al 0.000 0.000 0.000
Al 0.000 0.000 0.500
Al 0.000 0.500 0.000
Al 0.000 0.500 0.500
Al 0.125 0.750 0.875
Al 0.125 0.875 0.250
Al 0.250 0.125 0.875
Al 0.250 0.625 0.375
Al 0.375 0.250 0.625
Al 0.375 0.625 0.750
Al 0.500 0.000 0.000
Al 0.500 0.000 0.500
Al 0.500 0.500 0.000
Al 0.500 0.500 0.500
Al 0.625 0.375 0.250
Al 0.625 0.750 0.375
Al 0.750 0.375 0.625
Al 0.750 0.875 0.125
Al 0.875 0.125 0.750
Al 0.875 0.250 0.125
Se 0.028 0.205 0.120
Se 0.028 0.323 0.909
Se 0.086 0.705 0.677
Se 0.086 0.880 0.409
Se 0.091 0.620 0.414
Se 0.091 0.972 0.677
Se 0.120 0.028 0.205
Se 0.120 0.591 0.914
Se 0.177 0.205 0.586
Se 0.177 0.472 0.591
Se 0.205 0.120 0.028
Se 0.205 0.586 0.177
Se 0.295 0.323 0.914
Se 0.295 0.472 0.380
Se 0.323 0.909 0.028
Se 0.323 0.914 0.295
Se 0.380 0.295 0.472
Se 0.380 0.586 0.909
Se 0.409 0.086 0.880
Se 0.409 0.823 0.528
Se 0.414 0.091 0.620
Se 0.414 0.823 0.795
Se 0.472 0.380 0.295
Se 0.472 0.591 0.177
Se 0.528 0.409 0.823
Se 0.528 0.620 0.705
Se 0.586 0.177 0.205
Se 0.586 0.909 0.380
Se 0.591 0.177 0.472
Se 0.591 0.914 0.120
Se 0.620 0.414 0.091
Se 0.620 0.705 0.528
Se 0.677 0.086 0.705
Se 0.677 0.091 0.972
Se 0.705 0.528 0.620
Se 0.705 0.677 0.086
Se 0.795 0.414 0.823
Se 0.795 0.880 0.972
Se 0.823 0.528 0.409
Se 0.823 0.795 0.414
Se 0.880 0.409 0.086
Se 0.880 0.972 0.795
Se 0.909 0.028 0.323
Se 0.909 0.380 0.586
Se 0.914 0.120 0.591
Se 0.914 0.295 0.323
Se 0.972 0.677 0.091
Se 0.972 0.795 0.880

Properties
As for the energy relative to the elements, uncorrected: -1.237 eV per atom.

=====

A plane-wave DFT calculation with PBE-GGA was carried out for a relaxed Nd2AlSe crystal.

Lattice parameters (Å, degrees): 4.415 23.620 4.214 90.00 90.00 90.00
Fractional positions:
Nd 0.000 0.068 0.250
Nd 0.000 0.318 0.250
Nd 0.000 0.682 0.750
Nd 0.000 0.932 0.750
Nd 0.500 0.182 0.750
Nd 0.500 0.432 0.750
Nd 0.500 0.568 0.250
Nd 0.500 0.818 0.250
Al 0.000 0.464 0.250
Al 0.000 0.536 0.750
Al 0.500 0.036 0.750
Al 0.500 0.964 0.250
Se 0.000 0.192 0.250
Se 0.000 0.808 0.750
Se 0.500 0.308 0.750
Se 0.500 0.692 0.250

Properties
The relative energy among the computed polymorphs comes out at 0.000 eV/atom. As for the energy relative to the elements, uncorrected: -1.128 eV per atom. The density of states at the Fermi level comes out at 8.99 states/eV per cell.